# 1
Material: YRhSe4
Method: DFT, PBE
State: optimized geometry

Cell: 5.624 5.624 5.624 Å, 60.00 60.00 60.00°
Element x y z (fractional)
Rh (0.000, 0.000, 0.000)
Y (0.750, 0.750, 0.750)
Se (0.374, 0.374, 0.879)
Se (0.879, 0.374, 0.374)
Se (0.374, 0.374, 0.374)
Se (0.374, 0.879, 0.374)

Summary:
The symmetry is F-43m (216). The uncorrected formation energy is 20.4 kJ per mole of atoms. As for the electronic total energy: -4.414 eV per atom. The calculated volume is 20.959 Å³/atom.

# 2
Material: Y2RhSe
Method: DFT, PBE
State: optimized geometry

Cell: 6.967 6.967 6.967 Å, 35.23 35.23 35.23°
Element x y z (fractional)
Y (0.219, 0.219, 0.219)
Y (0.033, 0.033, 0.033)
Rh (0.445, 0.445, 0.445)
Se (0.803, 0.803, 0.803)

Summary:
The symmetry is R3m (160). The uncorrected formation energy is -75.7 kJ per mole of atoms. As for the electronic total energy: -6.726 eV per atom. The calculated volume is 25.132 Å³/atom.

# 3
Material: YRhSe2
Method: DFT, PBE
State: optimized geometry

Cell: 3.808 3.808 5.720 Å, 90.00 90.00 90.00°
Element x y z (fractional)
Se (0.500, 0.500, 0.312)
Se (0.000, 0.000, 0.915)
Y (0.000, 0.000, 0.447)
Rh (0.500, 0.500, 0.826)

Summary:
The symmetry is P4mm (99). The uncorrected formation energy is -96.6 kJ per mole of atoms. As for the electronic total energy: -6.198 eV per atom. The calculated volume is 20.734 Å³/atom.

# 4
Material: YRhSe2
Method: DFT, PBE
State: optimized geometry

Cell: 8.354 8.354 8.354 Å, 28.41 28.41 28.41°
Element x y z (fractional)
Se (0.899, 0.899, 0.899)
Se (0.101, 0.101, 0.101)
Rh (0.000, 0.000, 0.000)
Y (0.500, 0.500, 0.500)

Summary:
The symmetry is R-3m (166). The uncorrected formation energy is -57.0 kJ per mole of atoms. As for the electronic total energy: -5.787 eV per atom. The calculated volume is 29.151 Å³/atom.

# 5
Material: ZnRhSe2
Method: DFT, PBE
State: optimized geometry

Cell: 4.582 4.582 4.577 Å, 68.58 68.58 105.74°
Element x y z (fractional)
Se (0.000, 0.000, 0.000)
Se (0.500, 0.500, 0.000)
Zn (0.500, 0.000, 0.500)
Rh (0.000, 0.500, 0.500)

Summary:
The symmetry is Fmmm (69). The uncorrected formation energy is -1.9 kJ per mole of atoms. As for the electronic total energy: -3.918 eV per atom. The calculated volume is 18.414 Å³/atom.

# 6
Material: ZnRhSe2
Method: DFT, PBE
State: optimized geometry

Cell: 3.082 3.082 8.136 Å, 90.00 90.00 89.97°
Element x y z (fractional)
Se (0.000, 0.000, 0.906)
Se (0.500, 0.500, 0.317)
Zn (0.000, 0.000, 0.527)
Rh (0.500, 0.500, 0.749)

Summary:
The symmetry is P4mm (99). The uncorrected formation energy is -8.2 kJ per mole of atoms. As for the electronic total energy: -3.984 eV per atom. The calculated volume is 19.319 Å³/atom.

# 7
Material: ZnRh2Se
Method: DFT, PBE
State: optimized geometry

Cell: 8.353 8.353 8.353 Å, 20.73 20.73 20.73°
Element x y z (fractional)
Rh (0.001, 0.001, 0.001)
Rh (0.246, 0.246, 0.246)
Se (0.508, 0.508, 0.508)
Zn (0.745, 0.745, 0.745)

Summary:
The symmetry is R3m (160). The uncorrected formation energy is 4.1 kJ per mole of atoms. As for the electronic total energy: -4.823 eV per atom. The calculated volume is 15.977 Å³/atom.

# 8
Material: Zn3RhSe
Method: DFT, PBE
State: optimized geometry

Cell: 4.740 4.740 4.740 Å, 90.00 90.00 90.00°
Element x y z (fractional)
Se (0.000, 0.000, 0.000)
Zn (0.000, 0.000, 0.500)
Zn (0.000, 0.500, 0.000)
Zn (0.500, 0.000, 0.000)
Rh (0.500, 0.500, 0.500)

Summary:
The symmetry is Pm-3m (221). The uncorrected formation energy is 82.5 kJ per mole of atoms. As for the electronic total energy: -2.077 eV per atom. The calculated volume is 21.295 Å³/atom. The value obtained for the distance to the lowest polymorph of the same formula is 560 meV per atom.

# 9
Material: ZnRh2Se
Method: DFT, PBE
State: optimized geometry

Cell: 4.342 4.342 5.016 Å, 78.80 78.80 40.84°
Element x y z (fractional)
Zn (0.250, 0.250, 0.250)
Se (0.750, 0.750, 0.750)
Rh (0.001, 0.001, 0.993)
Rh (0.499, 0.499, 0.507)

Summary:
The symmetry is C2/m (12). The uncorrected formation energy is -11.0 kJ per mole of atoms. As for the electronic total energy: -4.980 eV per atom. The calculated volume is 15.127 Å³/atom.

# 10
Material: ZnRhSe2
Method: DFT, PBE
State: optimized geometry

Cell: 6.431 6.431 6.431 Å, 146.77 143.90 49.87°
Element x y z (fractional)
Rh (0.250, 0.750, 0.500)
Zn (0.750, 0.250, 0.500)
Se (0.105, 0.105, 0.000)
Se (0.395, 0.395, 0.000)

Summary:
The symmetry is Immm (71). The uncorrected formation energy is -25.6 kJ per mole of atoms. As for the electronic total energy: -4.164 eV per atom. The calculated volume is 21.369 Å³/atom.

# 11
Material: ZnRh2Se
Method: DFT, PBE
State: optimized geometry

Cell: 4.429 4.429 4.429 Å, 60.00 60.00 60.00°
Element x y z (fractional)
Rh (0.250, 0.250, 0.250)
Rh (0.000, 0.000, 0.000)
Se (0.500, 0.500, 0.500)
Zn (0.750, 0.750, 0.750)

Summary:
The symmetry is F-43m (216). The uncorrected formation energy is 16.0 kJ per mole of atoms. As for the electronic total energy: -4.700 eV per atom. The calculated volume is 15.356 Å³/atom.

# 12
Material: ZnRhSe2
Method: DFT, PBE
State: optimized geometry

Cell: 3.731 3.731 6.545 Å, 73.53 73.53 59.81°
Element x y z (fractional)
Se (0.509, 0.509, 0.473)
Se (0.991, 0.991, 0.027)
Rh (0.250, 0.250, 0.250)
Zn (0.750, 0.750, 0.750)

Summary:
The symmetry is C2/m (12). The uncorrected formation energy is -28.0 kJ per mole of atoms. As for the electronic total energy: -4.189 eV per atom. The calculated volume is 18.606 Å³/atom.

# 13
Material: ZnRhSe
Method: DFT, PBE
State: optimized geometry

Cell: 5.956 5.956 3.012 Å, 75.35 75.35 29.29°
Element x y z (fractional)
Se (0.641, 0.641, 0.359)
Rh (0.003, 0.003, 0.997)
Zn (0.356, 0.356, 0.644)

Summary:
The symmetry is I4mm (107). The uncorrected formation energy is -6.9 kJ per mole of atoms. As for the electronic total energy: -4.108 eV per atom. The calculated volume is 16.816 Å³/atom. The value obtained for the distance to the lowest polymorph of the same formula is 113 meV per atom.

# 14
Material: ZnRhSe2
Method: DFT, PBE
State: optimized geometry

Cell: 7.220 7.220 7.220 Å, 29.75 29.75 29.75°
Element x y z (fractional)
Se (0.026, 0.026, 0.026)
Se (0.223, 0.223, 0.223)
Rh (0.748, 0.748, 0.748)
Zn (0.503, 0.503, 0.503)

Summary:
The symmetry is R3m (160). The uncorrected formation energy is -21.9 kJ per mole of atoms. As for the electronic total energy: -4.126 eV per atom. The calculated volume is 20.511 Å³/atom.

# 15
Material: Zn2Rh2Se
Method: DFT, PBE
State: optimized geometry

Cell: 6.523 6.523 3.739 Å, 90.00 90.00 90.00°
Element x y z (fractional)
Rh (0.157, 0.343, 0.000)
Rh (0.657, 0.157, 0.000)
Rh (0.343, 0.843, 0.000)
Rh (0.843, 0.657, 0.000)
Zn (0.143, 0.643, 0.500)
Zn (0.857, 0.357, 0.500)
Zn (0.357, 0.143, 0.500)
Zn (0.643, 0.857, 0.500)
Se (0.000, 0.000, 0.000)
Se (0.500, 0.500, 0.000)

Summary:
The symmetry is P4/mbm (127). The uncorrected formation energy is -16.0 kJ per mole of atoms. As for the electronic total energy: -4.312 eV per atom. The calculated volume is 15.910 Å³/atom.

# 16
Material: ZnRh2Se
Method: DFT, PBE
State: optimized geometry

Cell: 5.022 5.078 2.929 Å, 74.27 88.00 118.97°
Element x y z (fractional)
Rh (0.000, 0.000, 0.000)
Rh (0.500, 0.000, 0.500)
Zn (0.500, 0.500, 0.000)
Se (0.000, 0.500, 0.500)

Summary:
The symmetry is C2/m (12). The uncorrected formation energy is 4.8 kJ per mole of atoms. As for the electronic total energy: -4.815 eV per atom. The calculated volume is 15.412 Å³/atom.

# 17
Material: ZnRhSe2
Method: DFT, PBE
State: optimized geometry

Cell: 4.667 4.664 3.100 Å, 90.00 90.00 90.00°
Element x y z (fractional)
Rh (0.000, 0.500, 0.500)
Se (0.500, 0.500, 0.000)
Se (0.000, 0.000, 0.000)
Zn (0.500, 0.000, 0.500)

Summary:
The symmetry is P4/mmm (123). The uncorrected formation energy is 8.5 kJ per mole of atoms. As for the electronic total energy: -3.810 eV per atom. The calculated volume is 16.868 Å³/atom.

# 18
Material: ZnRhSe2
Method: DFT, PBE
State: optimized geometry

Cell: 3.715 3.715 5.234 Å, 90.00 90.00 90.00°
Element x y z (fractional)
Se (0.000, 0.000, 0.875)
Se (0.500, 0.500, 0.374)
Rh (0.500, 0.500, 0.874)
Zn (0.000, 0.000, 0.376)

Summary:
The symmetry is P4mm (99). The uncorrected formation energy is -22.6 kJ per mole of atoms. As for the electronic total energy: -4.133 eV per atom. The calculated volume is 18.062 Å³/atom.

# 19
Material: ZnRh4Se
Method: DFT, PBE
State: optimized geometry

Cell: 5.158 5.158 5.158 Å, 60.00 60.00 60.00°
Element x y z (fractional)
Se (0.750, 0.750, 0.750)
Rh (0.375, 0.375, 0.874)
Rh (0.375, 0.375, 0.375)
Rh (0.874, 0.375, 0.375)
Rh (0.375, 0.874, 0.375)
Zn (0.000, 0.000, 0.000)

Summary:
The symmetry is F-43m (216). The uncorrected formation energy is 34.6 kJ per mole of atoms. As for the electronic total energy: -5.335 eV per atom. The calculated volume is 16.173 Å³/atom.

# 20
Material: ZnRhSe2
Method: DFT, PBE
State: optimized geometry

Cell: 3.237 3.066 7.037 Å, 90.00 90.00 90.00°
Element x y z (fractional)
Zn (0.500, 0.500, 0.250)
Se (0.000, 0.000, 0.974)
Se (0.000, 0.000, 0.526)
Rh (0.500, 0.500, 0.750)

Summary:
The symmetry is Pmmm (47). The uncorrected formation energy is 9.7 kJ per mole of atoms. As for the electronic total energy: -3.798 eV per atom. The calculated volume is 17.455 Å³/atom.

# 21
Material: ZnRh2Se
Method: DFT, PBE
State: optimized geometry

Cell: 5.731 5.731 5.731 Å, 146.95 141.94 51.27°
Element x y z (fractional)
Se (0.534, 0.534, 0.000)
Rh (0.709, 0.209, 0.500)
Rh (0.970, 0.970, 0.000)
Zn (0.287, 0.787, 0.500)

Summary:
The symmetry is Imm2 (44). The uncorrected formation energy is -15.3 kJ per mole of atoms. As for the electronic total energy: -5.024 eV per atom. The calculated volume is 15.737 Å³/atom.

# 22
Material: ZnRhSe3
Method: DFT, PBE
State: optimized geometry

Cell: 4.818 4.818 4.818 Å, 90.00 90.00 90.00°
Element x y z (fractional)
Rh (0.500, 0.500, 0.500)
Zn (0.000, 0.000, 0.000)
Se (0.000, 0.000, 0.500)
Se (0.000, 0.500, 0.000)
Se (0.500, 0.000, 0.000)

Summary:
The symmetry is Pm-3m (221). The uncorrected formation energy is 81.0 kJ per mole of atoms. As for the electronic total energy: -2.976 eV per atom. The calculated volume is 22.366 Å³/atom. The value obtained for the distance to the lowest polymorph of the same formula is 441 meV per atom.

# 23
Material: Zn3RhSe
Method: DFT, PBE
State: optimized geometry

Cell: 4.762 4.762 4.762 Å, 90.00 90.00 90.00°
Element x y z (fractional)
Rh (0.000, 0.000, 0.000)
Se (0.500, 0.500, 0.500)
Zn (0.000, 0.000, 0.500)
Zn (0.500, 0.000, 0.000)
Zn (0.000, 0.500, 0.000)

Summary:
The symmetry is Pm-3m (221). The uncorrected formation energy is 28.5 kJ per mole of atoms. As for the electronic total energy: -2.637 eV per atom. The calculated volume is 21.594 Å³/atom. The value obtained for the distance to the lowest polymorph of the same formula is 0 meV per atom.

# 24
Material: ZnRh2Se
Method: DFT, PBE
State: optimized geometry

Cell: 4.901 4.901 4.357 Å, 76.09 76.09 36.46°
Element x y z (fractional)
Zn (0.248, 0.248, 0.180)
Rh (0.765, 0.765, 0.672)
Rh (0.989, 0.989, 0.061)
Se (0.498, 0.498, 0.586)

Summary:
The symmetry is Cm (8). The uncorrected formation energy is -15.6 kJ per mole of atoms. As for the electronic total energy: -5.027 eV per atom. The calculated volume is 15.041 Å³/atom.

# 25
Material: ZnRhSe
Method: DFT, PBE
State: optimized geometry

Cell: 3.227 3.227 5.753 Å, 90.00 90.00 120.00°
Element x y z (fractional)
Se (0.667, 0.333, 0.296)
Rh (0.000, 0.000, 0.015)
Zn (0.333, 0.667, 0.689)

Summary:
The symmetry is P3m1 (156). The uncorrected formation energy is -15.2 kJ per mole of atoms. As for the electronic total energy: -4.194 eV per atom. The calculated volume is 17.292 Å³/atom. The value obtained for the distance to the lowest polymorph of the same formula is 28 meV per atom.

# 26
Material: ZnRhSe2
Method: DFT, PBE
State: optimized geometry

Cell: 3.827 3.827 7.266 Å, 90.00 90.00 125.95°
Element x y z (fractional)
Zn (0.500, 0.500, 0.250)
Se (0.000, 0.000, 0.510)
Se (0.000, 0.000, 0.990)
Rh (0.500, 0.500, 0.750)

Summary:
The symmetry is Cmmm (65). The uncorrected formation energy is 11.1 kJ per mole of atoms. As for the electronic total energy: -3.784 eV per atom. The calculated volume is 21.535 Å³/atom.

# 27
Material: ZnRh2Se
Method: DFT, PBE
State: optimized geometry

Cell: 3.459 3.459 5.184 Å, 90.00 90.00 90.00°
Element x y z (fractional)
Rh (0.000, 0.000, 0.958)
Rh (0.500, 0.500, 0.295)
Se (0.000, 0.000, 0.446)
Zn (0.500, 0.500, 0.801)

Summary:
The symmetry is P4mm (99). The uncorrected formation energy is -12.9 kJ per mole of atoms. As for the electronic total energy: -4.999 eV per atom. The calculated volume is 15.508 Å³/atom.

# 28
Material: ZnRhSe2
Method: DFT, PBE
State: optimized geometry

Cell: 4.875 4.875 5.806 Å, 72.00 72.00 42.56°
Element x y z (fractional)
Se (0.698, 0.698, 0.670)
Se (0.960, 0.960, 0.103)
Rh (0.283, 0.283, 0.360)
Zn (0.559, 0.559, 0.366)

Summary:
The symmetry is Cm (8). The uncorrected formation energy is -20.1 kJ per mole of atoms. As for the electronic total energy: -4.107 eV per atom. The calculated volume is 22.013 Å³/atom.

# 29
Material: ZnRh2Se
Method: DFT, PBE
State: optimized geometry

Cell: 3.056 2.977 6.965 Å, 90.03 90.00 90.00°
Element x y z (fractional)
Rh (0.000, 0.250, 0.533)
Rh (0.000, 0.250, 0.967)
Zn (0.500, 0.750, 0.750)
Se (0.500, 0.250, 0.250)

Summary:
The symmetry is Pmmm (47). The uncorrected formation energy is -12.2 kJ per mole of atoms. As for the electronic total energy: -4.992 eV per atom. The calculated volume is 15.842 Å³/atom.

# 30
Material: ZnRhSe2
Method: DFT, PBE
State: optimized geometry

Cell: 7.612 7.612 7.612 Å, 29.11 29.11 29.11°
Element x y z (fractional)
Rh (0.500, 0.500, 0.500)
Se (0.110, 0.110, 0.110)
Se (0.890, 0.890, 0.890)
Zn (0.000, 0.000, 0.000)

Summary:
The symmetry is R-3m (166). The uncorrected formation energy is -22.3 kJ per mole of atoms. As for the electronic total energy: -4.130 eV per atom. The calculated volume is 23.090 Å³/atom.